Entry 1:
## TlCrAs2Br (meta-GGA SCAN)

Data for TlCrAs2Br at its PBEsol-relaxed geometry.

The total magnetization comes out at 0.320 μB per atom. For the energy above the most stable polymorph in this dataset, the calculation gives 0.000 eV/atom. As for the calculated volume: 117.2 Å³/cell. Its calculated density is 6.89 g/cm3.

```
TlCrAs2Br
1.0
4.611 0.000 0.000
0.000 4.611 0.000
0.000 0.000 5.511
Tl Cr As Br
1 1 2 1
Cartesian
0.000 0.000 0.000
2.305 2.305 2.755
0.000 2.305 2.755
2.305 0.000 2.755
2.305 2.305 0.000
```


Entry 2:
## CsAsBr3 (meta-GGA SCAN)

Data for CsAsBr3 at its PBEsol-relaxed geometry.

The total magnetization comes out at 0.000 μB per atom. As for the calculated volume: 160.4 Å³/cell. The value obtained for the energy is -24.256 eV/atom. Its calculated density is 4.63 g/cm3.

```
CsAsBr3
1.0
5.434 0.000 0.000
0.000 5.434 0.000
0.000 0.000 5.434
Cs As Br
1 1 3
Cartesian
0.000 0.000 0.000
2.717 2.717 2.717
0.000 2.717 2.717
2.717 0.000 2.717
2.717 2.717 0.000
```